Tl3SnHg8: optimized geometry, PBE.

The structure in POSCAR format:
```
Tl3SnHg8
1.0
8.828 0.000 -0.540
-5.453 5.121 4.571
-2.079 0.000 8.603
Hg Tl Sn
8 3 1
Direct
0.625 0.499 0.378
0.129 0.000 0.369
0.369 0.483 0.634
0.126 0.501 0.877
0.886 0.517 0.117
0.876 0.000 0.637
0.628 0.000 0.867
0.361 0.000 0.121
0.504 0.000 0.492
0.252 0.500 0.252
0.752 0.500 0.752
0.992 0.000 0.005
```

Calculated values
total moment = 0.000 μB/atom
energy of formation from the pure elements = 0.0548 eV/atom